First-principles (PBE-GGA) data for a geometry-optimized Nd6Tm4Mg structure, as listed in Alexandria.

Lattice parameters (Å, degrees): 5.7629 9.7217 25.7624 90.00 90.00 90.00
Space group Cmcm (No. 63)
Symmetry-distinct sites (fractional):
Nd  0.0000  0.0000  0.0000 (multiplicity 4)
Nd  0.0000  0.0290  0.2500 (multiplicity 4)
Nd  0.0000  0.3127  0.6051 (multiplicity 8)
Nd  0.0000  0.3580  0.1809 (multiplicity 8)
Tm  0.0000  0.0258  0.1223 (multiplicity 8)
Tm  0.0000  0.3426  0.0451 (multiplicity 8)
Mg  0.0000  0.3067  0.7500 (multiplicity 4)

Raw total energy (eV per formula unit): -46.8
Magnetization (μB per formula unit): 0.00
V (Å³ per cell): 1443.36
ΔH_f (0 K) (meV/atom): 114

First-principles (PBE-GGA) data for a geometry-optimized Ti12Tl3Pd structure, as listed in Alexandria.

Lattice parameters (Å, degrees): 4.1556 4.1556 16.4490 90.00 90.00 90.00
Space group P4/mmm (No. 123)
Symmetry-distinct sites (fractional):
Ti  0.0000  0.0000  0.0000 (multiplicity 1)
Ti  0.0000  0.0000  0.2430 (multiplicity 2)
Ti  0.0000  0.0000  0.5000 (multiplicity 1)
Ti  0.0000  0.5000  0.1159 (multiplicity 4)
Ti  0.0000  0.5000  0.3729 (multiplicity 4)
Tl  0.5000  0.5000  0.2437 (multiplicity 2)
Tl  0.5000  0.5000  0.5000 (multiplicity 1)
Pd  0.5000  0.5000  0.0000 (multiplicity 1)

Raw total energy (eV per formula unit): -107.6
Magnetization (μB per formula unit): 0.00
V (Å³ per cell): 284.06
ΔH_f (0 K) (meV/atom): -36

First-principles (PBE-GGA) data for a geometry-optimized Cs4HgS4 structure, as listed in Alexandria.

Lattice parameters (Å, degrees): 10.1548 10.1548 7.0395 90.00 90.00 90.00
Space group I4/m (No. 87)
Symmetry-distinct sites (fractional):
Cs  0.0895  0.7065  0.0000 (multiplicity 8)
Hg  0.0000  0.0000  0.5000 (multiplicity 2)
S  0.0754  0.7682  0.5000 (multiplicity 8)

Raw total energy (eV per formula unit): -26.1
Magnetization (μB per formula unit): 0.00
V (Å³ per cell): 725.91
Uncorrected formation energy (meV per atom): -655.8

First-principles (PBE-GGA) data for a geometry-optimized AcLa7Ho3 structure, as listed in Alexandria.

Lattice parameters (Å, degrees): 11.8885 10.2739 6.6796 90.00 95.25 90.00
Space group C2/m (No. 12)
Symmetry-distinct sites (fractional):
Ac  0.0000  0.0000  0.0000 (multiplicity 2)
La  0.0000  0.0000  0.5000 (multiplicity 2)
La  0.2317  0.5000  0.7031 (multiplicity 4)
La  0.2447  0.3191  0.2381 (multiplicity 8)
Ho  0.0000  0.3326  0.5000 (multiplicity 4)
Ho  0.0000  0.5000  0.0000 (multiplicity 2)

Raw total energy (eV per formula unit): -50.1
Magnetization (μB per formula unit): 0.00
V (Å³ per cell): 812.44
ΔH_f (0 K) (meV/atom): 207

First-principles (PBE-GGA) data for a geometry-optimized Er5CdNi4 structure, as listed in Alexandria.

Lattice parameters (Å, degrees): 3.3759 3.3759 17.5831 90.00 90.00 90.00
Space group P4/mmm (No. 123)
Symmetry-distinct sites (fractional):
Er  0.0000  0.0000  0.0000 (multiplicity 1)
Er  0.0000  0.0000  0.1885 (multiplicity 2)
Er  0.0000  0.0000  0.3750 (multiplicity 2)
Cd  0.5000  0.5000  0.5000 (multiplicity 1)
Ni  0.5000  0.5000  0.0943 (multiplicity 2)
Ni  0.5000  0.5000  0.2851 (multiplicity 2)

Raw total energy (eV per formula unit): -50.9
Magnetization (μB per formula unit): 0.00
V (Å³ per cell): 200.38
ΔH_f (0 K) (meV/atom): -408

First-principles (PBE-GGA) data for a geometry-optimized Rb2Cd6Sn3 structure, as listed in Alexandria.

Lattice parameters (Å, degrees): 8.9167 8.9167 4.9444 90.00 90.00 120.00
Space group P-62m (No. 189)
Symmetry-distinct sites (fractional):
Rb  0.3333  0.6667  0.0000 (multiplicity 2)
Cd  0.0000  0.1898  0.0000 (multiplicity 3)
Cd  0.0000  0.7006  0.5000 (multiplicity 3)
Sn  0.0000  0.3608  0.5000 (multiplicity 3)

Raw total energy (eV per formula unit): -20.6
Magnetization (μB per formula unit): 0.00
V (Å³ per cell): 340.45
ΔH_f (0 K) (meV/atom): -106